Compound: CaYSb2Te
Source: the Alexandria database
Functional: GGA-PBEsol
Structure: optimized geometry

## Properties
symmetry	P4/mmm
density of states at the Fermi level	5.14	states/eV per cell
raw formation energy	-29	kJ/mol of atoms
total magnetization	0.0	μB per formula unit

abc: 5.673 5.673 5.713
angles: 90.00 90.00 90.00
Positions (direct):
Ca (0.000, 0.000, 0.000)
Y (0.500, 0.500, 0.500)
Sb (0.000, 0.500, 0.500)
Sb (0.500, 0.000, 0.500)
Te (0.500, 0.500, 0.000)



Compound: BeIBr2
Source: the Alexandria database
Functional: GGA-PBEsol
Structure: optimized geometry

## Properties
symmetry	I-42d
polymorph energy (0 for the lowest one)	0	meV per atom
density of states at the Fermi level	6.14	states/eV per cell
raw formation energy	-31	kJ/mol of atoms
total magnetization	1.0	μB per formula unit

abc: 6.772 6.772 6.772
angles: 117.47 117.47 94.43
Positions (direct):
Be (0.000, 0.000, 0.000)
Be (0.750, 0.250, 0.500)
I (0.250, 0.750, 0.500)
I (0.500, 0.500, 0.000)
Br (0.375, 0.034, 0.159)
Br (0.784, 0.625, 0.659)
Br (0.875, 0.216, 0.841)
Br (0.966, 0.125, 0.341)



Compound: LiHgSb2
Source: the Alexandria database
Functional: GGA-PBEsol
Structure: optimized geometry

## Properties
symmetry	P2/m
density of states at the Fermi level	1.49	states/eV per cell
raw formation energy	-15	kJ/mol of atoms
total magnetization	0.0	μB per formula unit

abc: 3.053 4.489 7.151
angles: 90.00 90.12 90.00
Positions (direct):
Li (0.000, 0.000, 0.000)
Hg (0.500, 0.000, 0.500)
Sb (0.500, 0.500, 0.206)
Sb (0.500, 0.500, 0.794)